VASP calculation (GGA+U) on crystalline CaMn2P4O14 at its relaxed geometry.

Crystal system ... triclinic
Relative energy among the computed polymorphs ... 3 meV per atom

Cell lengths 6.2662, 6.2812, 7.5558 Å; angles 88.46, 66.43, 83.42 degrees
Last column: nearest neighbours and their distance in Å.
Space group P1 (No. 1)
One atom of each set of equivalent atoms:
Ca 0.0000 0.0000 0.0000 x1  2 O 2.20-2.22
Mn 0.2554 0.5020 0.1871 x1  5 O 1.94-2.08
Mn 0.5992 0.1933 0.6906 x1  5 O 1.94-2.12
P 0.1366 0.2302 0.5873 x1  4 O 1.50-1.61
P 0.3672 0.9977 0.2024 x1  4 O 1.49-1.60
P 0.4831 0.7010 0.6830 x1  4 O 1.50-1.62
P 0.7097 0.4719 0.2951 x1  4 O 1.52-1.60
O 0.1311 0.4349 0.4805 x1  1 P 1.50
O 0.2225 0.7586 0.7717 x1  1 P 1.50
O 0.2354 0.8167 0.1719 x1  1 P 1.55
O 0.2620 0.0367 0.4316 x1  2 P 1.60-1.61
O 0.2716 0.2194 0.7208 x1  1 P 1.55
O 0.2778 0.1945 0.1095 x1  1 P 1.56
O 0.5628 0.4942 0.7672 x1  1 P 1.55
O 0.5632 0.6541 0.4540 x1  2 P 1.60-1.62
O 0.5772 0.4640 0.1622 x1  1 P 1.54
O 0.6251 0.8827 0.6927 x1  1 P 1.55
O 0.6264 0.9500 0.1271 x1  1 P 1.49
O 0.7331 0.2589 0.3910 x1  1 P 1.52
O 0.8963 0.1636 0.7252 x1  1 P 1.55
O 0.9510 0.5467 0.1693 x1  1 P 1.55